(1)
A relaxed Mn2MoWS crystal. Source: the Alexandria database, functional PBE.

Geometry as POSCAR:
```
Mn2MoWS
1.0
4.764 0.000 0.000
0.000 4.725 0.000
0.000 0.000 4.764
S Mo Mn W
1 1 2 1
Direct
0.500 0.500 0.500
0.000 0.500 0.000
0.000 0.000 0.500
0.500 0.000 0.000
0.000 0.000 0.000
```

energy: -38.129 eV per cell
total moment: 1.279 μB per atom
calculated volume: 21.445 Å³/atom
theoretical density: 6.5 g/cm³

(2)
A relaxed NaCoAu2 crystal. Source: the Alexandria database, functional PBE.

Geometry as POSCAR:
```
NaCoAu2
1.0
5.261 0.000 0.000
0.000 5.261 0.000
2.631 2.631 8.399
Na Au Co
2 4 2
Direct
0.500 0.500 0.000
0.250 0.750 0.500
0.875 0.115 0.750
0.865 0.125 0.250
0.375 0.135 0.750
0.885 0.625 0.250
0.000 0.000 0.000
0.750 0.250 0.500
```

energy: -26.499 eV per cell
E_form: 0.43 eV per atom
total moment: 0.474 μB per atom
calculated volume: 29.062 Å³/atom
theoretical density: 6.8 g/cm³
energy above the lowest structure with this stoichiometry: 215 meV/atom

(3)
A relaxed K6GeF12 crystal. Source: the Alexandria database, functional PBE.

Geometry as POSCAR:
```
K6GeF12
1.0
-2.649 -5.972 -3.201
3.318 -3.151 5.656
-6.051 2.234 3.365
F K Ge
12 6 1
Direct
0.010 0.746 0.946
0.528 0.416 0.852
0.852 0.528 0.416
0.416 0.852 0.528
0.990 0.254 0.054
0.254 0.054 0.990
0.746 0.946 0.010
0.054 0.990 0.254
0.472 0.584 0.148
0.584 0.148 0.472
0.946 0.010 0.746
0.148 0.472 0.584
0.156 0.605 0.271
0.271 0.156 0.605
0.605 0.271 0.156
0.844 0.395 0.729
0.395 0.729 0.844
0.729 0.844 0.395
0.000 0.000 0.000
```

energy: -80.283 eV per cell
total moment: 0.105 μB per atom
calculated volume: 19.470 Å³/atom
theoretical density: 2.4 g/cm³

Which value of theoretical density does entry 2 give?
6.8 g/cm³

Copy entry 1 word for word.
A relaxed Mn2MoWS crystal. Source: the Alexandria database, functional PBE.

Geometry as POSCAR:
```
Mn2MoWS
1.0
4.764 0.000 0.000
0.000 4.725 0.000
0.000 0.000 4.764
S Mo Mn W
1 1 2 1
Direct
0.500 0.500 0.500
0.000 0.500 0.000
0.000 0.000 0.500
0.500 0.000 0.000
0.000 0.000 0.000
```

energy: -38.129 eV per cell
total moment: 1.279 μB per atom
calculated volume: 21.445 Å³/atom
theoretical density: 6.5 g/cm³